1.
First-principles (PBE) data for a geometry-optimized Cs3Pd2PbCl9 structure, as listed in Alexandria via LeMat-Bulk.

Values from the calculation:
raw formation energy = -1.2175 eV/atom
total energy = -51.54 eV for the cell shown

Cell lengths 7.406, 7.406, 9.138 Å; angles 90.00, 90.00, 120.00 degrees
Fractional positions:
1 Pd 0.333 0.667 0.149
2 Cs 0.333 0.667 0.673
3 Cs 0.000 0.000 0.000
4 Pd 0.667 0.333 0.851
5 Cl 0.176 0.351 0.316
6 Cl 0.351 0.176 0.684
7 Cl 0.500 0.500 0.000
8 Cl 0.824 0.176 0.684
9 Cl 0.500 0.000 0.000
10 Cl 0.824 0.649 0.684
11 Cl 0.649 0.824 0.316
12 Cl 0.000 0.500 0.000
13 Cl 0.176 0.824 0.316
14 Cs 0.667 0.333 0.327
15 Pb 0.000 0.000 0.500



2.
First-principles (PBE) data for a geometry-optimized CsPdPbCl6 structure, as listed in Alexandria via LeMat-Bulk.

Values from the calculation:
raw formation energy = -0.9981 eV/atom
total energy = -29.82 eV for the cell shown

Cell lengths 7.065, 7.059, 7.521 Å; angles 89.00, 90.94, 61.80 degrees
Fractional positions:
1 Cs 0.004 0.004 0.999
2 Cl 0.039 0.605 0.714
3 Cl 0.347 0.049 0.682
4 Pd 0.333 0.333 0.500
5 Cl 0.606 0.041 0.287
6 Pb 0.679 0.678 0.499
7 Cl 0.335 0.607 0.317
8 Cl 0.605 0.337 0.684
9 Cl 0.050 0.346 0.318



3.
First-principles (PBE) data for a geometry-optimized CsPmPbCl6 structure, as listed in Alexandria via LeMat-Bulk.

Values from the calculation:
raw formation energy = -1.8215 eV/atom
total energy = -73.57 eV for the cell shown

Cell lengths 10.438, 9.982, 10.268 Å; angles 119.08, 120.55, 90.00 degrees
Fractional positions:
1 Cs 0.833 0.583 0.666
2 Pb 0.500 0.000 0.000
3 Cl 0.194 0.944 0.387
4 Cl 0.161 0.925 0.748
5 Cl 0.413 0.677 0.252
6 Cl 0.587 0.925 0.748
7 Cs 0.167 0.417 0.334
8 Cl 0.161 0.323 0.748
9 Cl 0.587 0.323 0.748
10 Cl 0.839 0.677 0.252
11 Pb 0.500 0.500 0.000
12 Cl 0.806 0.056 0.613
13 Pm 0.500 0.000 0.500
14 Cl 0.839 0.075 0.252
15 Cl 0.597 0.347 0.193
16 Cl 0.403 0.653 0.807
17 Cl 0.413 0.075 0.252
18 Pm 0.000 0.000 0.500



Question: Among the records above, which one has the highest raw formation energy?
Answer: CsPdPbCl6



Question: Look up the raw formation energy of the second one.
Answer: -0.9981 eV/atom



Question: The lowest total energy belongs to which entry?
Answer: CsPmPbCl6



Question: What is the total energy in the second record?
Answer: -29.82 eV for the cell shown